# 1
This record from Alexandria via LeMat-Bulk describes a relaxed structure of PrZn2GaPd. The functional is GGA-PBE.

Cell lengths 4.075, 4.351, 6.235 Å; angles 110.42, 109.07, 90.00 degrees
Fractional coordinates of all 5 atoms:
1 Pr 0.442 0.442 0.883
2 Zn 0.697 0.197 0.394
3 Zn 0.058 0.058 0.115
4 Ga 0.827 0.827 0.655
5 Pd 0.188 0.688 0.377

Values from the calculation:
density of states at the Fermi level = 3.3 states/eV/cell
total DFT energy (no corrections) = -3.632 eV per atom
space-group type = Imm2
ΔH_f (0 K) = -0.522 eV per atom


# 2
This record from Alexandria via LeMat-Bulk describes a relaxed structure of Pr2Zn2GaPd5. The functional is GGA-PBE.

Cell lengths 3.738, 9.946, 9.946 Å; angles 90.00, 90.00, 90.00 degrees
Fractional coordinates of all 20 atoms:
1 Pr 0.000 0.678 0.178
2 Pr 0.000 0.322 0.822
3 Pr 0.000 0.178 0.322
4 Pr 0.000 0.822 0.678
5 Zn 0.000 0.121 0.621
6 Zn 0.000 0.879 0.379
7 Zn 0.000 0.621 0.879
8 Zn 0.000 0.379 0.121
9 Ga 0.000 0.000 0.000
10 Ga 0.000 0.500 0.500
11 Pd 0.500 0.202 0.060
12 Pd 0.500 0.798 0.940
13 Pd 0.500 0.060 0.798
14 Pd 0.500 0.702 0.440
15 Pd 0.500 0.940 0.202
16 Pd 0.500 0.298 0.560
17 Pd 0.500 0.560 0.702
18 Pd 0.500 0.440 0.298
19 Pd 0.500 0.500 0.000
20 Pd 0.500 0.000 0.500

Values from the calculation:
density of states at the Fermi level = 9.5 states/eV/cell
total DFT energy (no corrections) = -4.742 eV per atom
space-group type = P4/mbm
ΔH_f (0 K) = -0.632 eV per atom


# 3
This record from Alexandria via LeMat-Bulk describes a relaxed structure of Pr2Zn4GaPd3. The functional is GGA-PBE.

Cell lengths 4.090, 4.090, 11.631 Å; angles 90.00, 90.00, 90.00 degrees
Fractional coordinates of all 10 atoms:
1 Pr 0.500 0.000 0.248
2 Pr 0.000 0.500 0.752
3 Zn 0.500 0.500 0.000
4 Zn 0.000 0.000 0.000
5 Zn 0.500 0.000 0.637
6 Zn 0.000 0.500 0.363
7 Ga 0.500 0.500 0.500
8 Pd 0.000 0.000 0.500
9 Pd 0.500 0.000 0.859
10 Pd 0.000 0.500 0.141

Values from the calculation:
density of states at the Fermi level = 6.3 states/eV/cell
total DFT energy (no corrections) = -3.892 eV per atom
space-group type = P-4m2
ΔH_f (0 K) = -0.566 eV per atom